# Zn2MoAu, optimized geometry, DFT GGA-PBE
data_Zn2MoAu
_chemical_formula_sum 'Zn6 Mo3 Au3'
_space_group_name_H-M_alt 'R -3 m'
_space_group_IT_number 166
_space_group_name_Hall '-R 3 2"'
_cell_length_a 2.8597
_cell_length_b 2.8597
_cell_length_c 26.9262
_cell_angle_alpha 90.00
_cell_angle_beta 90.00
_cell_angle_gamma 120.00
loop_
_atom_site_label
_atom_site_type_symbol
_atom_site_fract_x
_atom_site_fract_y
_atom_site_fract_z
_atom_site_occupancy
Zn1 Zn 0.0000 0.0000 0.2490 1
Mo1 Mo 0.0000 0.0000 0.5000 1
Au1 Au 0.0000 0.0000 0.0000 1
# Calculated density = 11.07 g/cm³
# E above lowest polymorph = 0.096 eV/atom
# Calculated formation energy = 0.34 eV/f.u.